LiCoSeO | PBE+U | relaxed

Output
total magnetic moment: 0.50 μB per atom
E above lowest polymorph: 23.9 meV/atom

Cell lengths 6.303, 6.418, 5.426 Å; angles 90.00, 102.61, 90.00 degrees
Space group P2_1/c (No. 14)
Unique sites:
Li 0.150 0.245 0.055
Co 0.476 0.613 0.767
Se 0.211 0.622 0.342
O 0.359 0.154 0.364